No. 1
# Ti2Tl14Te9

Crystalline Ti2Tl14Te9 at its relaxed geometry (PBE, Alexandria).

Results
The space group is P-3 (147). The calculation puts the total energy at -84.2 eV per cell. Its total magnetic moment is 0.000 Bohr magnetons per cell. Its uncorrected formation energy is -282.2 meV/atom.

a b c (Å): 10.1515 10.1515 9.7739
angles (deg): 90.00 90.00 120.00
Fractional positions:
1 Ti 0.3333 0.6667 0.2326
2 Ti 0.6667 0.3333 0.7674
3 Tl 0.0073 0.6721 0.0660
4 Tl 0.2931 0.8427 0.6162
5 Tl 0.1573 0.4504 0.6162
6 Tl 0.0000 0.0000 0.3235
7 Tl 0.0000 0.0000 0.6765
8 Tl 0.3279 0.3352 0.0660
9 Tl 0.6648 0.9927 0.0660
10 Tl 0.4504 0.2931 0.3838
11 Tl 0.5496 0.7069 0.6162
12 Tl 0.3352 0.0073 0.9340
13 Tl 0.6721 0.6648 0.9340
14 Tl 0.8427 0.5496 0.3838
15 Tl 0.7069 0.1573 0.3838
16 Tl 0.9927 0.3279 0.9340
17 Te 0.3136 0.9124 0.2907
18 Te 0.0876 0.4012 0.2907
19 Te 0.3333 0.6667 0.9589
20 Te 0.0000 0.0000 0.0000
21 Te 0.4012 0.3136 0.7093
22 Te 0.5988 0.6864 0.2907
23 Te 0.6667 0.3333 0.0411
24 Te 0.9124 0.5988 0.7093
25 Te 0.6864 0.0876 0.7093

***

No. 2
# AlCr2Pt

Crystalline AlCr2Pt at its relaxed geometry (PBE, Alexandria).

Results
The space group is Pmmm (47). The calculation puts the total energy at -29.8 eV per cell. Its total magnetic moment is 0.000 Bohr magnetons per cell. The calculation puts the formation enthalpy at 0 K at -18.8 kJ/mol of atoms.

a b c (Å): 4.0400 2.6694 5.6487
angles (deg): 61.80 90.00 90.00
Fractional positions:
1 Cr 0.0000 0.0328 0.9669
2 Cr 0.0000 0.4672 0.5331
3 Al 0.5000 0.7500 0.7500
4 Pt 0.5000 0.2500 0.2500

***

No. 3
# Y2AlRu3

Crystalline Y2AlRu3 at its relaxed geometry (PBE, Alexandria).

Results
The space group is R-3m (166). The calculation puts the total energy at -47.1 eV per cell. Its total magnetic moment is 1.312 Bohr magnetons per cell. The calculation puts the formation enthalpy at 0 K at -42.1 kJ/mol of atoms.

a b c (Å): 5.4892 5.4892 5.2423
angles (deg): 90.00 121.51 120.06
Site moments in Bohr magnetons follow the coordinates.
Fractional positions:
1 Y 0.7482 0.3741 0.1222  -0.05
2 Y 0.2518 0.6259 0.8778  -0.05
3 Al 0.0000 0.0000 0.0000  -0.01
4 Ru 0.5000 0.5000 0.5000  0.48
5 Ru 0.0000 0.0000 0.5000  0.48
6 Ru 0.5000 0.0000 0.5000  0.48

***

Please write out number 2 again, unchanged.
# AlCr2Pt

Crystalline AlCr2Pt at its relaxed geometry (PBE, Alexandria).

Results
The space group is Pmmm (47). The calculation puts the total energy at -29.8 eV per cell. Its total magnetic moment is 0.000 Bohr magnetons per cell. The calculation puts the formation enthalpy at 0 K at -18.8 kJ/mol of atoms.

a b c (Å): 4.0400 2.6694 5.6487
angles (deg): 61.80 90.00 90.00
Fractional positions:
1 Cr 0.0000 0.0328 0.9669
2 Cr 0.0000 0.4672 0.5331
3 Al 0.5000 0.7500 0.7500
4 Pt 0.5000 0.2500 0.2500